[1]
Below is RbBe3ZnF9 after structural relaxation, with properties calculated at the PBE level.

Cell lengths 6.5251, 6.5251, 9.4174 Å; angles 90.00, 90.00, 120.00 degrees
Space group P-6c2 (No. 188)
Asymmetric unit:
Rb 0.0000 0.0000 0.0000 [2 per cell]
Be 0.0574 0.4497 0.2500 [6 per cell]
Zn 0.6667 0.3333 0.0000 [2 per cell]
F 0.1367 0.4185 0.7500 [6 per cell]
F 0.4081 0.0794 0.1163 [12 per cell]

Results
Crystal system: hexagonal
Raw total energy: -5.173 eV/atom
Volume: 12.4 A^3/atom

---

[2]
Below is Tc6Sn2S after structural relaxation, with properties calculated at the PBE level.

Cell lengths 9.5967, 4.2669, 7.4216 Å; angles 90.00, 102.82, 90.00 degrees
Space group C2/m (No. 12)
Asymmetric unit:
Tc 0.0538 0.0000 0.3433 [4 per cell]
Tc 0.0751 0.5000 0.8645 [4 per cell]
Tc 0.1556 0.0000 0.0517 [4 per cell]
Sn 0.2487 0.5000 0.3120 [4 per cell]
S 0.0000 0.5000 0.5000 [2 per cell]

Results
Total moment: 0.01 Bohr magnetons per cell
Crystal system: monoclinic
Raw total energy: -8.059 eV/atom
Volume: 16.5 A^3/atom

---

[3]
Below is Nd4I3NCl2 after structural relaxation, with properties calculated at the PBE level.

Cell lengths 18.6975, 3.9610, 8.7051 Å; angles 90.00, 101.31, 90.00 degrees
Space group C2/m (No. 12)
Asymmetric unit:
Nd 0.0014 0.0000 0.3067 [4 per cell]
Nd 0.1335 0.5000 0.5667 [4 per cell]
I 0.0000 0.5000 0.0000 [2 per cell]
I 0.1741 0.0000 0.3100 [4 per cell]
N 0.0000 0.5000 0.5000 [2 per cell]
Cl 0.1515 0.0000 0.8056 [4 per cell]

Results
Total moment: 0.02 Bohr magnetons per cell
Crystal system: monoclinic
Raw total energy: -5.108 eV/atom
Volume: 31.6 A^3/atom